Density functional theory data (GGA-PBE) for a geometry-optimized BaTm2Zn structure.

DFT total energy   -12.20 eV per formula unit
SG   P4/mmm
Energy of formation   -14 meV per atom

Unit cell a=3.6372 b=3.6372 c=9.5617 alpha=90.00 beta=90.00 gamma=90.00
Closest atoms and distances in Å follow each position.
Fractional positions:
Ba1 0.0000 0.0000 0.0000  4 Ba 3.64, 8 Tm 4.06
Tm1 0.5000 0.5000 0.3280  4 Zn 3.05, 1 Tm 3.29
Tm2 0.5000 0.5000 0.6720  4 Zn 3.05, 1 Tm 3.29
Zn1 0.0000 0.0000 0.5000  8 Tm 3.05

***

Density functional theory data (GGA-PBE) for a geometry-optimized Sn2Ge2Te structure.

DFT total energy   -19.69 eV per formula unit
SG   I4/mmm
Energy relative to the elements, uncorrected   138 meV per atom

Unit cell a=5.0937 b=5.0937 c=10.0041 alpha=90.00 beta=90.00 gamma=90.00
Closest atoms and distances in Å follow each position.
Fractional positions:
Sn1 0.0000 0.5000 0.2500  4 Ge 2.84
Sn2 0.0000 0.5000 0.7500  4 Ge 2.84
Sn3 0.5000 0.0000 0.2500  4 Ge 2.84
Sn4 0.5000 0.0000 0.7500  4 Ge 2.84
Ge1 0.0000 0.0000 0.1248  1 Ge 2.50
Ge2 0.0000 0.0000 0.8752  1 Ge 2.50
Ge3 0.5000 0.5000 0.3752  1 Ge 2.50
Ge4 0.5000 0.5000 0.6248  1 Ge 2.50
Te1 0.0000 0.0000 0.5000  8 Sn 3.57, 10 Ge 3.75-3.81
Te2 0.5000 0.5000 0.0000  8 Sn 3.57, 10 Ge 3.75-3.81

***

Density functional theory data (GGA-PBE) for a geometry-optimized TiN2OF structure.

DFT total energy   -23.72 eV per formula unit
SG   P4/mmm
Energy relative to the elements, uncorrected   1532 meV per atom

Unit cell a=3.4891 b=3.4891 c=4.2316 alpha=90.00 beta=90.00 gamma=90.00
Closest atoms and distances in Å follow each position.
Fractional positions:
Ti1 0.0000 0.0000 0.0000  2 F 2.12
N1 0.0000 0.5000 0.5000  2 F 1.74
N2 0.5000 0.0000 0.5000  2 F 1.74
O1 0.5000 0.5000 0.0000  4 Ti 2.47, 8 N 2.74
F1 0.0000 0.0000 0.5000  4 N 1.74

***

Density functional theory data (GGA-PBE) for a geometry-optimized ThMn2Fe3 structure.

DFT total energy   -51.04 eV per formula unit
SG   Cmcm
Energy of formation   17 meV per atom

Unit cell a=6.2878 b=6.2878 c=4.5779 alpha=90.00 beta=90.00 gamma=78.15
Closest atoms and distances in Å follow each position.
Fractional positions:
Th1 0.1811 0.8189 0.7500  9 Fe 3.02-3.06
Th2 0.8189 0.1811 0.2500  9 Fe 3.02-3.06
Mn1 0.2938 0.2938 0.0000  2 Mn 2.29, 6 Fe 2.34-2.44
Mn2 0.2938 0.2938 0.5000  2 Mn 2.29, 6 Fe 2.34-2.44
Mn3 0.7062 0.7062 0.0000  2 Mn 2.29, 6 Fe 2.34-2.44
Mn4 0.7062 0.7062 0.5000  2 Mn 2.29, 6 Fe 2.34-2.44
Fe1 0.0303 0.5743 0.2500  4 Mn 2.34-2.44, 3 Fe 2.53-2.55
Fe2 0.4257 0.9697 0.2500  4 Mn 2.34-2.44, 3 Fe 2.53-2.55
Fe3 0.4380 0.5620 0.2500  4 Mn 2.37, 4 Fe 2.49-2.55
Fe4 0.5620 0.4380 0.7500  4 Mn 2.37, 4 Fe 2.49-2.55
Fe5 0.5743 0.0303 0.7500  4 Mn 2.34-2.44, 3 Fe 2.53-2.55
Fe6 0.9697 0.4257 0.7500  4 Mn 2.34-2.44, 3 Fe 2.53-2.55